A plane-wave DFT calculation with PBE was carried out for a relaxed structure of TeOs2Cl.

abc: 2.9682 2.9682 9.0711
angles: 90.00 90.00 90.00
With the nearest neighbours (Å) after each atom.
Space group P4mm (No. 99)
One atom of each set of equivalent atoms:
Te  0.0000  0.0000  0.0000  4 Te 2.97, 4 Os 3.08
Os  0.0000  0.0000  0.5842  4 Os 2.59, 4 Cl 2.79
Os  0.5000  0.5000  0.7518  4 Os 2.59
Cl  0.5000  0.5000  0.3822  4 Os 2.79, 4 Cl 2.97

Properties
magnetization: 0.00 μB per formula unit
uncorrected formation energy: 0.493 eV per atom
DOS(E_F): 3.70 states/eV/f.u.
electronic total energy: -25.48 eV for the cell shown
E above lowest polymorph: 271.6 meV per atom